(1)
First-principles (PBE) data for a relaxed structure of MnAs2, as listed in the Alexandria database.

Computed properties:
Energy of formation from the pure elements: -0.01 eV/atom

Cell: 6.926 6.926 3.414 Å, 90.00 90.00 120.00°
Positions (direct):
Mn  0.000  0.000  0.000
Mn  0.333  0.667  0.500
Mn  0.667  0.333  0.500
As  0.000  0.265  0.500
As  0.000  0.619  0.000
As  0.265  0.000  0.500
As  0.381  0.381  0.000
As  0.619  0.000  0.000
As  0.735  0.735  0.500

---

(2)
First-principles (PBE) data for a relaxed structure of MnAs2, as listed in the Alexandria database.

Computed properties:
Energy of formation from the pure elements: 0.01 eV/atom

Cell: 6.276 6.276 6.276 Å, 153.27 153.27 38.16°
Positions (direct):
Mn  0.000  0.000  0.000
As  0.376  0.376  0.000
As  0.624  0.624  0.000

---

no.,DOS(E_F) (states/eV/atom),total energy (eV/atom),magnetic moment (μB per formula unit)
1,0.572,-6.16,2.065
2,0.842,-6.15,0.145